# 1
Entry from Alexandria: a geometry-optimized Nd8CoCu3Br4 structure (PBE-GGA).

Output
* raw total energy: -4.67 eV/atom
* mass density: 6.356 g/cm³

```
data_Nd8CoCu3Br4
_cell_length_a 8.2523
_cell_length_b 8.2523
_cell_length_c 22.8997
_cell_angle_alpha 90.00
_cell_angle_beta 90.00
_cell_angle_gamma 120.00
_space_group_name_H-M_alt 'R -3 m'
_space_group_IT_number 166
_space_group_name_Hall '-R 3 2"'
loop_
_atom_site_label
_atom_site_type_symbol
_atom_site_fract_x
_atom_site_fract_y
_atom_site_fract_z
_atom_site_occupancy
Nd1 Nd 0.0000 0.0000 0.2380 1
Nd2 Nd 0.0141 0.5071 0.2342 1
Co1 Co 0.0000 0.0000 0.5000 1
Cu1 Cu 0.0000 0.5000 0.5000 1
Br1 Br 0.0000 0.0000 0.0000 1
Br2 Br 0.0000 0.5000 0.0000 1
```



# 2
Entry from Alexandria: a geometry-optimized Ac3PdN structure (PBE-GGA).

Output
* distance to the lowest polymorph of the same formula: 5 kJ/mol of formula units
* raw total energy: -5.82 eV/atom
* mass density: 9.158 g/cm³

```
data_Ac3PdN
_cell_length_a 3.945
_cell_length_b 8.123
_cell_length_c 9.462
_cell_angle_alpha 73.44
_cell_angle_beta 89.98
_cell_angle_gamma 89.99
_space_group_name_H-M_alt 'P 1'
_space_group_IT_number 1
loop_
_space_group_symop_operation_xyz
'x,y,z'
loop_
_atom_site_label
_atom_site_type_symbol
_atom_site_fract_x
_atom_site_fract_y
_atom_site_fract_z
_atom_site_occupancy
Ac1 Ac 0.000 0.000 0.000 1
Ac2 Ac 0.000 0.196 0.323 1
Ac3 Ac 0.000 0.618 0.371 1
Ac4 Ac 0.001 0.815 0.693 1
Ac5 Ac 0.500 0.256 0.654 1
Ac6 Ac 0.500 0.559 0.039 1
Pd1 Pd 0.000 0.407 0.846 1
Pd2 Pd 0.500 0.907 0.346 1
N1 N 0.500 0.407 0.347 1
N2 N 0.500 0.907 0.847 1
```



# 3
Entry from Alexandria: a geometry-optimized DyY2Pt3 structure (PBE-GGA).

Output
* raw total energy: -7.15 eV/atom
* mass density: 11.966 g/cm³
* formation energy: -7.3 eV/f.u.

```
data_DyY2Pt3
_cell_length_a 4.978
_cell_length_b 14.939
_cell_length_c 3.454
_cell_angle_alpha 90.00
_cell_angle_beta 90.00
_cell_angle_gamma 90.00
_space_group_name_H-M_alt 'C m m m'
_space_group_IT_number 65
_space_group_name_Hall '-C 2 2'
loop_
_atom_site_label
_atom_site_type_symbol
_atom_site_fract_x
_atom_site_fract_y
_atom_site_fract_z
_atom_site_occupancy
Dy1 Dy 0.000 0.000 0.000 1
Y1 Y 0.000 0.333 0.000 1
Pt1 Pt 0.000 0.165 0.500 1
Pt2 Pt 0.000 0.500 0.500 1
```



# 4
Entry from Alexandria: a geometry-optimized Y2GePb structure (PBE-GGA).

Output
* raw total energy: -5.73 eV/atom
* mass density: 6.766 g/cm³
* formation energy: -1.7 eV/f.u.

```
data_Y2GePb
_cell_length_a 8.062
_cell_length_b 8.062
_cell_length_c 6.913
_cell_angle_alpha 90.00
_cell_angle_beta 90.00
_cell_angle_gamma 90.00
_space_group_name_H-M_alt 'I -4 2 d'
_space_group_IT_number 122
_space_group_name_Hall 'I -4 2bw'
loop_
_atom_site_label
_atom_site_type_symbol
_atom_site_fract_x
_atom_site_fract_y
_atom_site_fract_z
_atom_site_occupancy
Y1 Y 0.224 0.750 0.125 1
Ge1 Ge 0.000 0.000 0.000 1
Pb1 Pb 0.000 0.000 0.500 1
```



# 5
Entry from Alexandria: a geometry-optimized MnV2Ir4 structure (PBE-GGA).

Output
* raw total energy: -9.13 eV/atom
* mass density: 14.995 g/cm³
* formation energy: -1.1 eV/f.u.

```
data_MnV2Ir4
_cell_length_a 6.646
_cell_length_b 8.015
_cell_length_c 3.849
_cell_angle_alpha 90.00
_cell_angle_beta 90.00
_cell_angle_gamma 90.00
_space_group_name_H-M_alt 'C m m m'
_space_group_IT_number 65
_space_group_name_Hall '-C 2 2'
loop_
_atom_site_label
_atom_site_type_symbol
_atom_site_fract_x
_atom_site_fract_y
_atom_site_fract_z
_atom_site_occupancy
Mn1 Mn 0.000 0.000 0.000 1
V1 V 0.000 0.235 0.500 1
Ir1 Ir 0.219 0.500 0.500 1
Ir2 Ir 0.250 0.250 0.000 1
```



# 6
Entry from Alexandria: a geometry-optimized NdZnAu6 structure (PBE-GGA).

Output
* raw total energy: -3.53 eV/atom
* mass density: 13.806 g/cm³
* formation energy: -2.5 eV/f.u.

```
data_NdZnAu6
_cell_length_a 4.049
_cell_length_b 4.049
_cell_length_c 10.210
_cell_angle_alpha 90.00
_cell_angle_beta 90.00
_cell_angle_gamma 90.00
_space_group_name_H-M_alt 'P 4/m m m'
_space_group_IT_number 123
_space_group_name_Hall '-P 4 2'
loop_
_atom_site_label
_atom_site_type_symbol
_atom_site_fract_x
_atom_site_fract_y
_atom_site_fract_z
_atom_site_occupancy
Nd1 Nd 0.000 0.000 0.000 1
Zn1 Zn 0.000 0.000 0.500 1
Au1 Au 0.000 0.500 0.329 1
Au2 Au 0.500 0.500 0.132 1
```



# 7
Entry from Alexandria: a geometry-optimized Ho2Mn2B2C structure (PBE-GGA).

Output
* raw total energy: -7.56 eV/atom
* mass density: 8.368 g/cm³
* formation energy: -2.9 eV/f.u.

```
data_Ho2Mn2B2C
_cell_length_a 10.201
_cell_length_b 3.519
_cell_length_c 6.413
_cell_angle_alpha 90.00
_cell_angle_beta 125.31
_cell_angle_gamma 90.00
_space_group_name_H-M_alt 'C 1 2/m 1'
_space_group_IT_number 12
loop_
_space_group_symop_operation_xyz
'x,y,z'
'-x,-y,-z'
'-x,y,-z'
'x,-y,z'
'x+1/2,y+1/2,z'
'-x+1/2,-y+1/2,-z'
'-x+1/2,y+1/2,-z'
'x+1/2,-y+1/2,z'
loop_
_atom_site_label
_atom_site_type_symbol
_atom_site_fract_x
_atom_site_fract_y
_atom_site_fract_z
_atom_site_occupancy
Ho1 Ho 0.068 0.000 0.320 1
Mn1 Mn 0.204 0.500 0.087 1
B1 B 0.184 0.500 0.746 1
C1 C 0.000 0.500 0.000 1
```



# 8
Entry from Alexandria: a geometry-optimized NdPHRu2 structure (PBE-GGA).

Output
* raw total energy: -6.98 eV/atom
* mass density: 8.625 g/cm³

```
data_NdPHRu2
_cell_length_a 3.740
_cell_length_b 10.762
_cell_length_c 7.240
_cell_angle_alpha 90.00
_cell_angle_beta 90.00
_cell_angle_gamma 90.00
_space_group_name_H-M_alt 'C m c m'
_space_group_IT_number 63
_space_group_name_Hall '-C 2c 2'
loop_
_atom_site_label
_atom_site_type_symbol
_atom_site_fract_x
_atom_site_fract_y
_atom_site_fract_z
_atom_site_occupancy
Nd1 Nd 0.000 0.055 0.250 1
P1 P 0.000 0.225 0.750 1
H1 H 0.000 0.500 0.000 1
Ru1 Ru 0.000 0.336 0.058 1
```



What is the formula in the fourth record? Y2GePb



Among the records above, which one has the highest raw total energy? NdZnAu6



What is the mass density in the first record? 6.356 g/cm³